1.
## Lu3RuN (GGA-PBE)

Data for an optimized crystal structure of Lu3RuN.

Computed properties:
SG ... Pm-3m, No. 221
Crystal system ... cubic

Cell lengths 4.5688, 4.5688, 4.5688 Å; angles 90.00, 90.00, 90.00 degrees
Closest atoms and distances in Å follow each position.
Fractional coordinates of all 5 atoms:
Lu1 0.0000 0.0000 0.5000  2 N 2.28
Lu2 0.0000 0.5000 0.0000  2 N 2.28
Lu3 0.5000 0.0000 0.0000  2 N 2.28
Ru1 0.5000 0.5000 0.5000  12 Lu 3.23
N1 0.0000 0.0000 0.0000  6 Lu 2.28

2.
## Lu2SN (GGA-PBE)

Data for an optimized crystal structure of Lu2SN.

Computed properties:
SG ... R-3m, No. 166
Crystal system ... trigonal

Cell lengths 6.4254, 6.4254, 6.4254 Å; angles 31.80, 31.80, 31.80 degrees
Closest atoms and distances in Å follow each position.
Fractional coordinates of all 4 atoms:
Lu1 0.2356 0.2356 0.2356  3 N 2.39
Lu2 0.7644 0.7644 0.7644  3 N 2.39
S1 0.0000 0.0000 0.0000  6 Lu 2.71
N1 0.5000 0.5000 0.5000  6 Lu 2.39

3.
## LuSc2N (GGA-PBE)

Data for an optimized crystal structure of LuSc2N.

Computed properties:
SG ... R-3m, No. 166
Crystal system ... trigonal

Cell lengths 8.5447, 8.5447, 8.5447 Å; angles 22.04, 22.04, 22.04 degrees
Closest atoms and distances in Å follow each position.
Fractional coordinates of all 4 atoms:
Lu1 0.0000 0.0000 0.0000  6 Lu 3.27, 6 Sc 3.50
Sc1 0.2153 0.2153 0.2153  3 N 2.24
Sc2 0.7847 0.7847 0.7847  3 N 2.24
N1 0.5000 0.5000 0.5000  6 Sc 2.24

4.
## LuSc2N (GGA-PBE)

Data for an optimized crystal structure of LuSc2N.

Computed properties:
SG ... P4/mmm, No. 123
Crystal system ... tetragonal

Cell lengths 2.9897, 2.9897, 8.0957 Å; angles 90.00, 90.00, 90.00 degrees
Closest atoms and distances in Å follow each position.
Fractional coordinates of all 4 atoms:
Lu1 0.0000 0.0000 0.0000  4 Lu 2.99
Sc1 0.5000 0.5000 0.3437  4 N 2.46, 1 Sc 2.53
Sc2 0.5000 0.5000 0.6563  4 N 2.46, 1 Sc 2.53
N1 0.0000 0.0000 0.5000  8 Sc 2.46

5.
## LuScN (GGA-PBE)

Data for an optimized crystal structure of LuScN.

Computed properties:
SG ... P3m1, No. 156
Crystal system ... trigonal

Cell lengths 3.3234, 3.3234, 5.5607 Å; angles 90.00, 90.00, 120.00 degrees
Closest atoms and distances in Å follow each position.
Fractional coordinates of all 3 atoms:
Lu1 0.0000 0.0000 0.0000  3 N 2.34
Sc1 0.6667 0.3333 0.4546  3 N 2.26
N1 0.3333 0.6667 0.2401  3 Sc 2.26, 3 Lu 2.34

6.
## Lu3SiN (GGA-PBE)

Data for an optimized crystal structure of Lu3SiN.

Computed properties:
SG ... Pm-3m, No. 221
Crystal system ... cubic

Cell lengths 4.5619, 4.5619, 4.5619 Å; angles 90.00, 90.00, 90.00 degrees
Closest atoms and distances in Å follow each position.
Fractional coordinates of all 5 atoms:
Lu1 0.0000 0.0000 0.5000  2 N 2.28
Lu2 0.0000 0.5000 0.0000  2 N 2.28
Lu3 0.5000 0.0000 0.0000  2 N 2.28
Si1 0.5000 0.5000 0.5000  12 Lu 3.23
N1 0.0000 0.0000 0.0000  6 Lu 2.28

7.
## Sm3LuN (GGA-PBE)

Data for an optimized crystal structure of Sm3LuN.

Computed properties:
SG ... Pm-3m, No. 221
Crystal system ... cubic

Cell lengths 5.0574, 5.0574, 5.0574 Å; angles 90.00, 90.00, 90.00 degrees
Closest atoms and distances in Å follow each position.
Fractional coordinates of all 5 atoms:
Sm1 0.0000 0.0000 0.5000  2 N 2.53
Sm2 0.0000 0.5000 0.0000  2 N 2.53
Sm3 0.5000 0.0000 0.0000  2 N 2.53
Lu1 0.5000 0.5000 0.5000  12 Sm 3.58
N1 0.0000 0.0000 0.0000  6 Sm 2.53

8.
## Sm2Lu4N (GGA-PBE)

Data for an optimized crystal structure of Sm2Lu4N.

Computed properties:
SG ... I4/mmm, No. 139
Crystal system ... tetragonal

Cell lengths 9.4619, 9.4619, 9.4619 Å; angles 151.48, 151.48, 40.78 degrees
Closest atoms and distances in Å follow each position.
Fractional coordinates of all 7 atoms:
Sm1 0.1751 0.1751 0.0000  5 Lu 3.39-3.46
Sm2 0.8249 0.8249 0.0000  5 Lu 3.39-3.46
Lu1 0.0000 0.5000 0.5000  2 N 2.33
Lu2 0.3704 0.3704 0.0000  1 N 2.30
Lu3 0.5000 0.0000 0.5000  2 N 2.33
Lu4 0.6296 0.6296 0.0000  1 N 2.30
N1 0.5000 0.5000 0.0000  6 Lu 2.30-2.33

9.
## SmLuN (GGA-PBE)

Data for an optimized crystal structure of SmLuN.

Computed properties:
SG ... I4mm, No. 107
Crystal system ... tetragonal

Cell lengths 6.6638, 6.6638, 6.6638 Å; angles 152.88, 152.88, 38.72 degrees
Closest atoms and distances in Å follow each position.
Fractional coordinates of all 3 atoms:
Sm1 0.0000 0.0000 0.0000  1 Lu 3.03, 4 Sm 3.12, 4 N 3.18
Lu1 0.7587 0.7587 0.0000  4 N 2.33
N1 0.3176 0.3176 0.0000  4 Lu 2.33

10.
## SmLuN (GGA-PBE)

Data for an optimized crystal structure of SmLuN.

Computed properties:
SG ... P3m1, No. 156
Crystal system ... trigonal

Cell lengths 3.4733, 3.4733, 6.0803 Å; angles 90.00, 90.00, 120.00 degrees
Closest atoms and distances in Å follow each position.
Fractional coordinates of all 3 atoms:
Sm1 0.0000 0.0000 0.0000  3 N 2.54
Lu1 0.3333 0.6667 0.4439  3 N 2.31
N1 0.6667 0.3333 0.2561  3 Lu 2.31, 3 Sm 2.54

11.
## Lu4Sn2N (GGA-PBE)

Data for an optimized crystal structure of Lu4Sn2N.

Computed properties:
SG ... I4/mmm, No. 139
Crystal system ... tetragonal

Cell lengths 8.4488, 8.4488, 8.4488 Å; angles 148.48, 148.48, 45.17 degrees
Closest atoms and distances in Å follow each position.
Fractional coordinates of all 7 atoms:
Lu1 0.0000 0.5000 0.5000  2 N 2.29
Lu2 0.1579 0.1579 0.0000  1 N 2.46
Lu3 0.5000 0.0000 0.5000  2 N 2.29
Lu4 0.8421 0.8421 0.0000  1 N 2.46
Sn1 0.3569 0.3569 0.0000  9 Lu 3.11-3.25
Sn2 0.6431 0.6431 0.0000  9 Lu 3.11-3.25
N1 0.0000 0.0000 0.0000  6 Lu 2.29-2.46

12.
## TbLu3N (GGA-PBE)

Data for an optimized crystal structure of TbLu3N.

Computed properties:
SG ... Pm-3m, No. 221
Crystal system ... cubic

Cell lengths 4.8504, 4.8504, 4.8504 Å; angles 90.00, 90.00, 90.00 degrees
Closest atoms and distances in Å follow each position.
Fractional coordinates of all 5 atoms:
Tb1 0.0000 0.0000 0.0000  12 Lu 3.43
Lu1 0.0000 0.5000 0.5000  2 N 2.43
Lu2 0.5000 0.0000 0.5000  2 N 2.43
Lu3 0.5000 0.5000 0.0000  2 N 2.43
N1 0.5000 0.5000 0.5000  6 Lu 2.43

13.
## Tb3LuN (GGA-PBE)

Data for an optimized crystal structure of Tb3LuN.

Computed properties:
SG ... Pm-3m, No. 221
Crystal system ... cubic

Cell lengths 4.9619, 4.9619, 4.9619 Å; angles 90.00, 90.00, 90.00 degrees
Closest atoms and distances in Å follow each position.
Fractional coordinates of all 5 atoms:
Tb1 0.0000 0.0000 0.5000  2 N 2.48
Tb2 0.0000 0.5000 0.0000  2 N 2.48
Tb3 0.5000 0.0000 0.0000  2 N 2.48
Lu1 0.5000 0.5000 0.5000  12 Tb 3.51
N1 0.0000 0.0000 0.0000  6 Tb 2.48

14.
## Tb4Lu2N (GGA-PBE)

Data for an optimized crystal structure of Tb4Lu2N.

Computed properties:
SG ... I4/mmm, No. 139
Crystal system ... tetragonal

Cell lengths 9.3276, 9.3276, 9.3276 Å; angles 150.16, 150.16, 42.70 degrees
Closest atoms and distances in Å follow each position.
Fractional coordinates of all 7 atoms:
Tb1 0.0000 0.5000 0.5000  2 N 2.40
Tb2 0.1350 0.1350 0.0000  1 N 2.35
Tb3 0.5000 0.0000 0.5000  2 N 2.40
Tb4 0.8650 0.8650 0.0000  1 N 2.35
Lu1 0.3357 0.3357 0.0000  9 Tb 3.43-3.73
Lu2 0.6643 0.6643 0.0000  9 Tb 3.43-3.73
N1 0.0000 0.0000 0.0000  6 Tb 2.35-2.40

15.
## LuTh2N (GGA-PBE)

Data for an optimized crystal structure of LuTh2N.

Computed properties:
SG ... R-3m, No. 166
Crystal system ... trigonal

Cell lengths 9.9174, 9.9174, 9.9174 Å; angles 20.32, 20.32, 20.32 degrees
Closest atoms and distances in Å follow each position.
Fractional coordinates of all 4 atoms:
Lu1 0.0000 0.0000 0.0000  2 Th 3.36, 6 Lu 3.50
Th1 0.1153 0.1153 0.1153  3 N 2.51
Th2 0.8847 0.8847 0.8847  3 N 2.51
N1 0.5000 0.5000 0.5000  6 Th 2.51

16.
## LuTh3N (GGA-PBE)

Data for an optimized crystal structure of LuTh3N.

Computed properties:
SG ... Pm-3m, No. 221
Crystal system ... cubic

Cell lengths 5.0680, 5.0680, 5.0680 Å; angles 90.00, 90.00, 90.00 degrees
Closest atoms and distances in Å follow each position.
Fractional coordinates of all 5 atoms:
Lu1 0.0000 0.0000 0.0000  12 Th 3.58
Th1 0.0000 0.5000 0.5000  2 N 2.53
Th2 0.5000 0.0000 0.5000  2 N 2.53
Th3 0.5000 0.5000 0.0000  2 N 2.53
N1 0.5000 0.5000 0.5000  6 Th 2.53

17.
## LuTiN (GGA-PBE)

Data for an optimized crystal structure of LuTiN.

Computed properties:
SG ... I4mm, No. 107
Crystal system ... tetragonal

Cell lengths 5.6726, 5.6726, 5.6726 Å; angles 150.70, 150.70, 41.92 degrees
Closest atoms and distances in Å follow each position.
Fractional coordinates of all 3 atoms:
Lu1 0.0000 0.0000 0.0000  4 N 2.53, 1 Ti 2.64
Ti1 0.7510 0.7510 0.0000  4 N 2.32
N1 0.3581 0.3581 0.0000  4 Ti 2.32, 4 Lu 2.53

18.
## Lu4Tl2N (GGA-PBE)

Data for an optimized crystal structure of Lu4Tl2N.

Computed properties:
SG ... I4/mmm, No. 139
Crystal system ... tetragonal

Cell lengths 8.4505, 8.4505, 8.4505 Å; angles 148.35, 148.35, 45.36 degrees
Closest atoms and distances in Å follow each position.
Fractional coordinates of all 7 atoms:
Lu1 0.0000 0.5000 0.5000  2 N 2.30
Lu2 0.1629 0.1629 0.0000  1 N 2.54
Lu3 0.5000 0.0000 0.5000  2 N 2.30
Lu4 0.8371 0.8371 0.0000  1 N 2.54
Tl1 0.3604 0.3604 0.0000  9 Lu 3.08-3.28
Tl2 0.6396 0.6396 0.0000  9 Lu 3.08-3.28
N1 0.0000 0.0000 0.0000  6 Lu 2.30-2.54

19.
## TmLu3N (GGA-PBE)

Data for an optimized crystal structure of TmLu3N.

Computed properties:
SG ... Pm-3m, No. 221
Crystal system ... cubic

Cell lengths 4.8332, 4.8332, 4.8332 Å; angles 90.00, 90.00, 90.00 degrees
Closest atoms and distances in Å follow each position.
Fractional coordinates of all 5 atoms:
Tm1 0.0000 0.0000 0.0000  12 Lu 3.42
Lu1 0.0000 0.5000 0.5000  2 N 2.42
Lu2 0.5000 0.0000 0.5000  2 N 2.42
Lu3 0.5000 0.5000 0.0000  2 N 2.42
N1 0.5000 0.5000 0.5000  6 Lu 2.42

20.
## TmLu2N (GGA-PBE)

Data for an optimized crystal structure of TmLu2N.

Computed properties:
SG ... R-3m, No. 166
Crystal system ... trigonal

Cell lengths 8.9430, 8.9430, 8.9430 Å; angles 21.81, 21.81, 21.81 degrees
Closest atoms and distances in Å follow each position.
Fractional coordinates of all 4 atoms:
Tm1 0.0000 0.0000 0.0000  6 Tm 3.38, 6 Lu 3.61
Lu1 0.2175 0.2175 0.2175  3 N 2.36
Lu2 0.7825 0.7825 0.7825  3 N 2.36
N1 0.5000 0.5000 0.5000  6 Lu 2.36

Number 1: uncorrected formation energy -0.797 eV/atom. Number 2: uncorrected formation energy -1.873 eV/atom. Number 3: uncorrected formation energy -0.885 eV/atom. Number 4: uncorrected formation energy -0.309 eV/atom. Number 5: uncorrected formation energy -1.172 eV/atom. Number 6: uncorrected formation energy -0.943 eV/atom. Number 7: uncorrected formation energy -0.495 eV/atom. Number 8: uncorrected formation energy -0.303 eV/atom. Number 9: uncorrected formation energy -0.464 eV/atom. Number 10: uncorrected formation energy -1.011 eV/atom. Number 11: uncorrected formation energy -0.973 eV/atom. Number 12: uncorrected formation energy -0.525 eV/atom. Number 13: uncorrected formation energy -0.535 eV/atom. Number 14: uncorrected formation energy -0.238 eV/atom. Number 15: uncorrected formation energy -0.441 eV/atom. Number 16: uncorrected formation energy -0.616 eV/atom. Number 17: uncorrected formation energy -0.356 eV/atom. Number 18: uncorrected formation energy -0.707 eV/atom. Number 19: uncorrected formation energy -0.539 eV/atom. Number 20: uncorrected formation energy -0.839 eV/atom.